# Cu2MoPt8 PBE relaxed
# Magnetic moment: 0.000 μB per cell
# E_tot: -0.22711 Ha/atom
# Mass density: 17.24 Mg/m³
# Formation energy: -57 meV/atom
data_Cu2MoPt8
_chemical_formula_sum 'Cu2 Mo1 Pt8'
_cell_length_a 4.022
_cell_length_b 6.655
_cell_length_c 6.655
_cell_angle_alpha 105.37
_cell_angle_beta 89.99
_cell_angle_gamma 89.99
_symmetry_space_group_name_H-M 'P 1'
_symmetry_Int_Tables_number 1
loop_
_symmetry_equiv_pos_as_xyz
'x,y,z'
loop_
_atom_site_label
_atom_site_fract_x
_atom_site_fract_y
_atom_site_fract_z
Mo1 0.500 0.000 0.000
Pt1 0.500 0.750 0.250
Pt2 0.500 0.250 0.750
Pt3 0.000 0.696 0.958
Pt4 0.000 0.958 0.696
Cu1 0.000 0.614 0.386
Pt5 0.000 0.042 0.304
Pt6 0.500 0.668 0.668
Pt7 0.500 0.332 0.332
Pt8 0.000 0.304 0.042
Cu2 0.000 0.386 0.614

***

# Ac6La2NdSm3 PBE relaxed
# Magnetic moment: 0.000 μB per cell
# E_tot: -0.16259 Ha/atom
# Mass density: 7.78 Mg/m³
# Formation energy: 28 meV/atom
data_Ac6La2NdSm3
_chemical_formula_sum 'Ac6 La2 Nd1 Sm3'
_cell_length_a 6.695
_cell_length_b 6.695
_cell_length_c 12.507
_cell_angle_alpha 95.12
_cell_angle_beta 95.12
_cell_angle_gamma 120.07
_symmetry_space_group_name_H-M 'P 1'
_symmetry_Int_Tables_number 1
loop_
_symmetry_equiv_pos_as_xyz
'x,y,z'
loop_
_atom_site_label
_atom_site_fract_x
_atom_site_fract_y
_atom_site_fract_z
Sm1 0.833 0.167 0.500
Sm2 0.167 0.833 0.500
Ac1 0.582 0.915 0.746
Ac2 0.751 0.751 0.254
La1 0.333 0.667 0.000
Ac3 0.249 0.249 0.746
La2 0.667 0.333 0.000
Ac4 0.915 0.582 0.746
Ac5 0.418 0.085 0.254
Nd1 0.000 0.000 0.000
Sm3 0.500 0.500 0.500
Ac6 0.085 0.418 0.254

***

Copy entry 2 word for word.
# Ac6La2NdSm3 PBE relaxed
# Magnetic moment: 0.000 μB per cell
# E_tot: -0.16259 Ha/atom
# Mass density: 7.78 Mg/m³
# Formation energy: 28 meV/atom
data_Ac6La2NdSm3
_chemical_formula_sum 'Ac6 La2 Nd1 Sm3'
_cell_length_a 6.695
_cell_length_b 6.695
_cell_length_c 12.507
_cell_angle_alpha 95.12
_cell_angle_beta 95.12
_cell_angle_gamma 120.07
_symmetry_space_group_name_H-M 'P 1'
_symmetry_Int_Tables_number 1
loop_
_symmetry_equiv_pos_as_xyz
'x,y,z'
loop_
_atom_site_label
_atom_site_fract_x
_atom_site_fract_y
_atom_site_fract_z
Sm1 0.833 0.167 0.500
Sm2 0.167 0.833 0.500
Ac1 0.582 0.915 0.746
Ac2 0.751 0.751 0.254
La1 0.333 0.667 0.000
Ac3 0.249 0.249 0.746
La2 0.667 0.333 0.000
Ac4 0.915 0.582 0.746
Ac5 0.418 0.085 0.254
Nd1 0.000 0.000 0.000
Sm3 0.500 0.500 0.500
Ac6 0.085 0.418 0.254

***

Q: Look up the formation energy of the first one.
A: -57 meV/atom

***

Q: Among the records above, which one has the lowest E_tot?
A: Cu2MoPt8

***

Q: What is the E_tot in the first record?
A: -0.22711 Ha/atom